[1]
Material: LiOsAu2
Method: DFT, PBEsol
State: relaxed

Calculated values
Energy relative to the elements, kJ/mol of formula units: 139
Magnetic moment, μB/atom: 0.00

Cell lengths 4.0812, 4.0812, 7.2204 Å; angles 90.00, 90.00, 90.00 degrees
Last column: nearest neighbours and their distance in Å.
Space group I4/mmm (No. 139)
Asymmetric unit:
Li  0.0000  0.0000  0.0000 (multiplicity 2)  8 Au 2.72, 4 Os 2.89
Os  0.0000  0.0000  0.5000 (multiplicity 2)  8 Au 2.72, 4 Li 2.89
Au  0.0000  0.5000  0.2500 (multiplicity 4)  4 Li 2.72, 4 Os 2.72, 4 Au 2.89

[2]
Material: LiOsAu2
Method: DFT, PBEsol
State: relaxed

Calculated values
Energy relative to the elements, kJ/mol of formula units: 16
Magnetic moment, μB/atom: 0.00

Cell lengths 4.7784, 4.7784, 2.6813 Å; angles 90.00, 90.00, 90.00 degrees
Last column: nearest neighbours and their distance in Å.
Space group P4/mmm (No. 123)
Asymmetric unit:
Li  0.0000  0.0000  0.0000 (multiplicity 1)  2 Li 2.68, 8 Au 2.74
Os  0.5000  0.5000  0.0000 (multiplicity 1)  2 Os 2.68, 8 Au 2.74
Au  0.0000  0.5000  0.5000 (multiplicity 2)  2 Au 2.68, 4 Li 2.74, 4 Os 2.74

[3]
Material: LiPAu2
Method: DFT, PBEsol
State: relaxed

Calculated values
Energy relative to the elements, kJ/mol of formula units: -22
Magnetic moment, μB/atom: 0.00

Cell lengths 3.7918, 3.8875, 8.4631 Å; angles 90.00, 90.00, 90.00 degrees
Last column: nearest neighbours and their distance in Å.
Space group Cmmm (No. 65)
Asymmetric unit:
Li  0.0000  0.0000  0.0000 (multiplicity 2)  4 Li 2.72, 8 Au 2.73-2.76
P  0.0000  0.0000  0.5000 (multiplicity 2)  4 P 2.72, 8 Au 2.96-2.99
Au  0.0000  0.5000  0.2322 (multiplicity 4)  4 Au 2.72, 4 Li 2.73-2.76, 4 P 2.96-2.99

[4]
Material: Li3PAu
Method: DFT, PBEsol
State: relaxed

Calculated values
Energy relative to the elements, kJ/mol of formula units: -67
Magnetic moment, μB/atom: 0.00

Cell lengths 4.5332, 4.5332, 4.5332 Å; angles 90.00, 90.00, 90.00 degrees
Last column: nearest neighbours and their distance in Å.
Space group Pm-3m (No. 221)
Asymmetric unit:
Li  0.0000  0.0000  0.5000 (multiplicity 3)  2 P 2.27
P  0.0000  0.0000  0.0000 (multiplicity 1)  6 Li 2.27
Au  0.5000  0.5000  0.5000 (multiplicity 1)  12 Li 3.21